DFT (PBE) results for crystalline YZnPd at its relaxed geometry.

Cell: 4.0781 7.0966 8.2376 Å, 90.00 90.00 90.00°
With the nearest neighbours (Å) after each atom.
Element x y z (fractional)
1 Zn 0.2500 0.1361 0.9339  4 Pd 2.67-2.78
2 Zn 0.7500 0.3639 0.4339  4 Pd 2.67-2.78
3 Zn 0.7500 0.8639 0.0661  4 Pd 2.67-2.78
4 Zn 0.2500 0.6361 0.5661  4 Pd 2.67-2.78
5 Y 0.2500 0.5473 0.1913  5 Pd 2.92-2.99, 5 Zn 3.14-3.20
6 Y 0.2500 0.0473 0.3087  5 Pd 2.92-2.99, 5 Zn 3.14-3.20
7 Y 0.7500 0.4527 0.8087  5 Pd 2.92-2.99, 5 Zn 3.14-3.20
8 Y 0.7500 0.9527 0.6913  5 Pd 2.92-2.99, 5 Zn 3.14-3.20
9 Pd 0.7500 0.7506 0.3820  4 Zn 2.67-2.78, 3 Y 2.92-2.95
10 Pd 0.2500 0.7494 0.8820  4 Zn 2.67-2.78, 3 Y 2.92-2.95
11 Pd 0.2500 0.2494 0.6180  4 Zn 2.67-2.78, 3 Y 2.92-2.95
12 Pd 0.7500 0.2506 0.1180  4 Zn 2.67-2.78, 3 Y 2.92-2.95

* formation energy: -0.746 eV per atom
* crystal system: orthorhombic
* theoretical density: 7.26 g cm⁻³
* M_tot: 0.0 μB per cell